(1)
## CrFe2ReH (PBE)

Data for a geometry-optimized CrFe2ReH structure.

Cell and atoms, written as POSCAR:
```
CrFe2ReH
1.0
-1.625 2.948 1.341
-2.742 -2.051 1.186
1.818 -0.510 3.324
Fe Re Cr H
2 1 1 1
Direct
0.000 0.500 0.000
0.500 0.000 0.000
0.000 0.000 0.500
0.500 0.500 0.500
0.000 0.000 0.000
```

Summary:
- energy above the most stable polymorph in this dataset (meV per atom) = 74.9
- space group = P4/mmm
- D(E_F) (states/eV/atom) = 1.08

(2)
## BeAlP2Cl (PBE)

Data for a geometry-optimized BeAlP2Cl structure.

Cell and atoms, written as POSCAR:
```
BeAlP2Cl
1.0
-0.535 -0.053 4.200
3.653 -2.096 0.439
2.390 4.240 0.358
Cl P Be Al
1 2 1 1
Direct
0.000 0.000 0.500
0.500 0.000 0.000
0.000 0.500 0.000
0.000 0.000 0.000
0.500 0.500 0.500
```

Summary:
- energy above the most stable polymorph in this dataset (meV per atom) = 0.0
- space group = P4/mmm
- D(E_F) (states/eV/atom) = 0.59

What volume values result from the calculations? In sequence: 50.2 87.5 Å³/cell.